[1]
Here is Ta2MoP after structural relaxation from Alexandria via LeMat-Bulk. Energies are from PBE. Values from VASP.

Spin magnetization in μB per cell: 0.00

```
&SYSTEM
  ibrav = 0, nat = 4, ntyp = 3
/
ATOMIC_SPECIES
Ta 180.95 Ta.upf
Mo 95.94 Mo.upf
P 30.97 P.upf
CELL_PARAMETERS angstrom
7.455 -1.631 0.002
7.455 1.631 0.002
7.097 0.000 2.805
ATOMIC_POSITIONS crystal
Ta 0.741 0.741 0.741
Ta 0.259 0.259 0.259
Mo 0.500 0.500 0.500
P 0.000 0.000 0.000
```

=====

[2]
Here is TaMo2P after structural relaxation from Alexandria via LeMat-Bulk. Energies are from PBE. Values from VASP.

Spin magnetization in μB per cell: 0.00

```
&SYSTEM
  ibrav = 0, nat = 4, ntyp = 3
/
ATOMIC_SPECIES
Ta 180.95 Ta.upf
Mo 95.94 Mo.upf
P 30.97 P.upf
CELL_PARAMETERS angstrom
-3.316 -2.952 1.768
-0.654 -3.143 3.539
-2.232 1.988 3.568
ATOMIC_POSITIONS crystal
Ta 0.500 0.500 0.000
Mo 0.274 0.274 0.715
Mo 0.726 0.726 0.285
P 0.000 0.000 0.500
```

=====

[3]
Here is Ta2MoP after structural relaxation from Alexandria via LeMat-Bulk. Energies are from PBE. Values from VASP.

Spin magnetization in μB per cell: 0.00

```
&SYSTEM
  ibrav = 0, nat = 4, ntyp = 3
/
ATOMIC_SPECIES
Ta 180.95 Ta.upf
Mo 95.94 Mo.upf
P 30.97 P.upf
CELL_PARAMETERS angstrom
4.420 0.000 0.000
0.000 2.901 -0.007
0.000 0.070 5.155
ATOMIC_POSITIONS crystal
Ta 0.000 0.185 0.751
Ta 0.000 0.815 0.249
Mo 0.500 0.500 0.000
P 0.500 0.000 0.500
```

=====

[4]
Here is TaMo2P after structural relaxation from Alexandria via LeMat-Bulk. Energies are from PBE. Values from VASP.

Spin magnetization in μB per cell: 0.00

```
&SYSTEM
  ibrav = 0, nat = 4, ntyp = 3
/
ATOMIC_SPECIES
Ta 180.95 Ta.upf
Mo 95.94 Mo.upf
P 30.97 P.upf
CELL_PARAMETERS angstrom
1.651 -2.390 0.000
1.651 2.390 0.000
0.000 0.000 7.981
ATOMIC_POSITIONS crystal
Ta 0.500 0.500 0.000
Mo 0.000 0.000 0.278
Mo 0.000 0.000 0.722
P 0.500 0.500 0.500
```

=====

[5]
Here is Ta2MoP after structural relaxation from Alexandria via LeMat-Bulk. Energies are from PBE. Values from VASP.

Spin magnetization in μB per cell: 0.00

```
&SYSTEM
  ibrav = 0, nat = 4, ntyp = 3
/
ATOMIC_SPECIES
Ta 180.95 Ta.upf
Mo 95.94 Mo.upf
P 30.97 P.upf
CELL_PARAMETERS angstrom
-2.353 -3.274 2.855
-0.924 -4.846 0.258
2.705 -2.410 2.947
ATOMIC_POSITIONS crystal
Ta 0.239 0.239 0.764
Ta 0.761 0.761 0.236
Mo 0.000 0.000 0.500
P 0.500 0.500 0.000
```

=====

[6]
Here is Ta2MoP after structural relaxation from Alexandria via LeMat-Bulk. Energies are from PBE. Values from VASP.

Spin magnetization in μB per cell: 0.00

```
&SYSTEM
  ibrav = 0, nat = 4, ntyp = 3
/
ATOMIC_SPECIES
Ta 180.95 Ta.upf
Mo 95.94 Mo.upf
P 30.97 P.upf
CELL_PARAMETERS angstrom
1.642 -4.811 0.000
1.642 4.811 0.000
0.000 0.000 4.159
ATOMIC_POSITIONS crystal
Ta 0.107 0.893 0.000
Ta 0.395 0.605 0.500
Mo 0.836 0.164 0.000
P 0.667 0.333 0.500
```

=====

Quick rundown of total energy, same order as above: -0.7462, -0.7256, -0.7370, -0.7216, -0.7449, -0.7505 Ry per atom
Quick rundown of V, same order as above: 68, 62, 66, 63, 65, 66 Å³ per cell